This record from Alexandria via LeMat-Bulk describes crystalline Rb3Li2UF9 at its relaxed geometry. The functional is PBE.

Structure (CIF):
```
data_Rb3Li2UF9
_space_group_name_H-M_alt 'P -3 m 1'
_space_group_IT_number 164
_space_group_name_Hall '-P 3 2"'
_cell_length_a 6.0793
_cell_length_b 6.0793
_cell_length_c 8.0361
_cell_angle_alpha 90.00
_cell_angle_beta 90.00
_cell_angle_gamma 120.00
loop_
_atom_site_label
_atom_site_type_symbol
_atom_site_fract_x
_atom_site_fract_y
_atom_site_fract_z
_atom_site_occupancy
Rb1 Rb 0.0000 0.0000 0.0000 1
Rb2 Rb 0.3333 0.6667 0.7265 1
Li1 Li 0.3333 0.6667 0.1073 1
U1 U 0.0000 0.0000 0.5000 1
F1 F 0.0000 0.5000 0.0000 1
F2 F 0.1646 0.3291 0.3353 1
```

For the total energy, the calculation gives -81.03 eV/cell. Its volume is 17.147 A^3/atom. The calculated density comes out at 4.39 Mg/m³. The value obtained for the raw formation energy is -46.17 eV/f.u.

---

This record from Alexandria via LeMat-Bulk describes crystalline HfBAu at its relaxed geometry. The functional is PBE.

Structure (CIF):
```
data_HfBAu
_space_group_name_H-M_alt 'C 1 2/m 1'
_space_group_IT_number 12
_space_group_name_Hall '-C 2y'
_cell_length_a 5.495
_cell_length_b 3.172
_cell_length_c 10.424
_cell_angle_alpha 90.00
_cell_angle_beta 100.04
_cell_angle_gamma 90.00
loop_
_atom_site_label
_atom_site_type_symbol
_atom_site_fract_x
_atom_site_fract_y
_atom_site_fract_z
_atom_site_occupancy
Hf1 Hf 0.055 0.000 0.165 1
B1 B 0.166 0.500 0.998 1
Au1 Au 0.206 0.000 0.617 1
```

For the total energy, the calculation gives -87.44 eV/cell. Its volume is 14.910 A^3/atom. The calculated density comes out at 14.34 Mg/m³. Its formation energy is -1.95 eV per formula unit.

---

This record from Alexandria via LeMat-Bulk describes crystalline PmCIN2 at its relaxed geometry. The functional is PBE.

Structure (CIF):
```
data_PmCIN2
_space_group_name_H-M_alt 'P 1 21/m 1'
_space_group_IT_number 11
_space_group_name_Hall '-P 2yb'
_cell_length_a 5.455
_cell_length_b 4.056
_cell_length_c 8.156
_cell_angle_alpha 90.00
_cell_angle_beta 98.94
_cell_angle_gamma 90.00
loop_
_atom_site_label
_atom_site_type_symbol
_atom_site_fract_x
_atom_site_fract_y
_atom_site_fract_z
_atom_site_occupancy
Pm1 Pm 0.174 0.250 0.208 1
C1 C 0.352 0.250 0.871 1
I1 I 0.263 0.750 0.557 1
N1 N 0.129 0.250 0.893 1
N2 N 0.430 0.750 0.148 1
```

For the total energy, the calculation gives -72.84 eV/cell. Its volume is 17.825 A^3/atom. The calculated density comes out at 5.81 Mg/m³. The value obtained for the raw formation energy is -4.24 eV/f.u.